# Nd3Sm3Dy5 | the Alexandria database | PBE-GGA | relaxed
data_Nd3Sm3Dy5
_chemical_formula_sum 'Nd3 Sm3 Dy5'
_cell_length_a 5.5436
_cell_length_b 9.6863
_cell_length_c 9.6863
_cell_angle_alpha 120.00
_cell_angle_beta 90.00
_cell_angle_gamma 90.00
_symmetry_space_group_name_H-M 'P 1'
_symmetry_Int_Tables_number 1
loop_
_symmetry_equiv_pos_as_xyz
'x,y,z'
loop_
_atom_site_label
_atom_site_fract_x
_atom_site_fract_y
_atom_site_fract_z
_atom_site_occupancy
Nd1 0.5000 0.0000 0.3655 1
Dy1 0.5000 0.2694 0.2694 1
Dy2 0.5000 0.3333 0.6667 1
Nd2 0.5000 0.3655 0.0000 1
Dy3 0.5000 0.0000 0.7306 1
Dy4 0.5000 0.6667 0.3333 1
Sm1 0.0000 0.4382 0.4382 1
Sm2 0.0000 0.5618 0.0000 1
Dy5 0.5000 0.7306 0.0000 1
Nd3 0.5000 0.6345 0.6345 1
Sm3 0.0000 0.0000 0.5618 1
# * symmetry: No. 189
# * N(E_F): 19.646 states/eV/f.u.
# * E_form: 17.82 kcal/mol of atoms